A plane-wave DFT calculation with SCAN was carried out for AlTl2Rh at its PBEsol-relaxed geometry.

## Properties
**Formation energy from the elements**: 0.259 eV/atom
**DFT total energy**: -46.30 eV per atom
**ΔE to the lowest computed polymorph**: 0 meV/atom

Cell lengths 3.193, 5.012, 4.910 Å; angles 90.00, 91.09, 90.00 degrees
Element x y z (fractional)
Al (0.000, 0.000, 0.000)
Tl (0.258, 0.500, 0.254)
Tl (0.742, 0.500, 0.746)
Rh (0.500, 0.000, 0.500)

---

A plane-wave DFT calculation with SCAN was carried out for AlTl2Rh2 at its PBEsol-relaxed geometry.

## Properties
**Formation energy from the elements**: 0.408 eV/atom
**DFT total energy**: -43.59 eV per atom

Cell lengths 7.024, 7.024, 7.024 Å; angles 147.80, 147.80, 46.17 degrees
Element x y z (fractional)
Al (0.000, 0.000, 0.000)
Tl (0.250, 0.750, 0.500)
Tl (0.750, 0.250, 0.500)
Rh (0.404, 0.404, 0.000)
Rh (0.596, 0.596, 0.000)